1.
# Zr2Tc2Mo

An optimized crystal structure of Zr2Tc2Mo (PBE-GGA, Alexandria).

a b c (Å): 6.4743 6.4743 4.5154
angles (deg): 90.00 90.00 90.00
Fractional positions:
Mo (0.0000, 0.0000, 0.0000)
Mo (0.5000, 0.5000, 0.0000)
Tc (0.3620, 0.8620, 0.0000)
Tc (0.8620, 0.6380, 0.0000)
Tc (0.6380, 0.1380, 0.0000)
Tc (0.1380, 0.3620, 0.0000)
Zr (0.1803, 0.6803, 0.5000)
Zr (0.6803, 0.8197, 0.5000)
Zr (0.8197, 0.3197, 0.5000)
Zr (0.3197, 0.1803, 0.5000)

## Properties
The calculated volume comes out at 189 Å³ per cell. Its density of states at the Fermi level is 1.129 states/eV/atom. As for the electronic total energy: -9.75 eV/atom. The density is 8324 kg/m3.

2.
# Li2CaGa9

An optimized crystal structure of Li2CaGa9 (PBE-GGA, Alexandria).

a b c (Å): 5.5082 5.5082 9.5548
angles (deg): 73.25 73.25 60.00
Fractional positions:
Li (0.8595, 0.8595, 0.4214)
Li (0.1405, 0.1405, 0.5786)
Ca (0.0000, 0.0000, 0.0000)
Ga (0.6623, 0.6623, 0.0131)
Ga (0.3377, 0.3377, 0.9869)
Ga (0.5000, 0.5000, 0.5000)
Ga (0.4069, 0.4069, 0.2637)
Ga (0.9225, 0.4069, 0.2637)
Ga (0.4069, 0.9225, 0.2637)
Ga (0.5931, 0.5931, 0.7363)
Ga (0.5931, 0.0775, 0.7363)
Ga (0.0775, 0.5931, 0.7363)

## Properties
The calculated volume comes out at 237 Å³ per cell. Its density of states at the Fermi level is 0.394 states/eV/atom. As for the electronic total energy: -2.94 eV/atom. The density is 4780 kg/m3.

3.
# Na2TlSe

An optimized crystal structure of Na2TlSe (PBE-GGA, Alexandria).

a b c (Å): 5.2858 5.2858 5.2858
angles (deg): 60.00 60.00 60.00
Fractional positions:
Na (0.2500, 0.2500, 0.2500)
Na (0.7500, 0.7500, 0.7500)
Tl (0.5000, 0.5000, 0.5000)
Se (0.0000, 0.0000, 0.0000)

## Properties
For the formation energy without anion corrections, the calculation gives -0.49 eV per atom. The calculated volume comes out at 104 Å³ per cell. Its density of states at the Fermi level is 0.392 states/eV/atom. As for the electronic total energy: -2.61 eV/atom. The density is 5237 kg/m3.

4.
# Pr4ErTm

An optimized crystal structure of Pr4ErTm (PBE-GGA, Alexandria).

a b c (Å): 3.6652 9.6006 12.0570
angles (deg): 148.72 90.09 100.99
Fractional positions:
Pr (0.8329, 0.6650, 0.4971)
Pr (0.1670, 0.3348, 0.5029)
Pr (0.3321, 0.6635, 0.9962)
Pr (0.6679, 0.3366, 0.0038)
Er (0.0001, 0.0002, 0.0001)
Tm (0.4999, 0.9999, 0.5000)

## Properties
The calculated volume comes out at 205 Å³ per cell. Its density of states at the Fermi level is 1.434 states/eV/atom. As for the electronic total energy: -4.68 eV/atom. The density is 7299 kg/m3.